This record from the Alexandria database describes a relaxed K2RbCdHg2 crystal. The functional is PBE.

```
K2RbCdHg2
1.0
4.9957 0.0000 0.0000
0.0000 9.4741 0.0000
0.0000 0.0000 10.3531
K Rb Hg Cd
4 2 4 2
direct
0.5000 0.0373 0.0822
0.0000 0.3819 0.1922
0.5000 0.5373 0.9178
0.0000 0.8819 0.8078
0.0000 0.4682 0.5683
0.0000 0.9682 0.4317
0.5000 0.7454 0.5918
0.0000 0.7464 0.1324
0.0000 0.2464 0.8676
0.5000 0.2454 0.4082
0.5000 0.6664 0.2940
0.5000 0.1664 0.7060
```

The value obtained for the mass density is 4.6 g/cm³. For the formation energy, the calculation gives -1.0 eV per formula unit.